[1]
A plane-wave DFT calculation with PBE-GGA was carried out for crystalline YH9C5N2O8 at its relaxed geometry.

```
YH9C5N2O8
1.0
5.6925 -3.6512 0.0000
5.6925 3.6512 0.0000
-2.2178 0.0000 6.2312
Y H C N O
1 9 5 2 8
direct
0.0000 0.0000 0.0000 Y
0.1621 0.4677 0.1180 H
0.2697 0.4887 0.5364 H
0.3634 0.2054 0.4054 H
0.5113 0.7303 0.4636 H
0.5323 0.8379 0.8820 H
0.5407 0.4390 0.8257 H
0.5610 0.4593 0.1743 H
0.7946 0.6366 0.5946 H
0.9229 0.0771 0.5000 H
0.0509 0.4715 0.9585 C
0.0737 0.9263 0.5000 C
0.5285 0.9491 0.0415 C
0.5371 0.2890 0.7053 C
0.7110 0.4629 0.2947 C
0.3761 0.3283 0.5365 N
0.6717 0.6239 0.4635 N
0.0004 0.6396 0.8752 O
0.1495 0.8399 0.6673 O
0.1601 0.8505 0.3327 O
0.3604 0.9996 0.1248 O
0.6773 0.1005 0.7333 O
0.6861 0.0163 0.1279 O
0.8995 0.3227 0.2667 O
0.9837 0.3139 0.8721 O
```

Computed properties:
- Mass density: 2.0 g cm⁻³
- E_tot: -164.46 eV per cell
- Space-group type: C2 (5)

[2]
A plane-wave DFT calculation with PBE-GGA was carried out for crystalline ZnH7C4N3O7 at its relaxed geometry.

```
ZnH7C4N3O7
1.0
10.7839 0.0000 0.0000
0.0000 6.9113 0.0000
-7.0231 0.0000 11.8962
Zn H C N O
4 28 16 12 28
direct
0.2113 0.1968 0.0456 Zn
0.2113 0.3032 0.5456 Zn
0.7887 0.6968 0.4544 Zn
0.7887 0.8032 0.9544 Zn
0.0123 0.1950 0.3526 H
0.0123 0.3050 0.8526 H
0.0610 0.6474 0.6060 H
0.0610 0.8526 0.1060 H
0.1184 0.6053 0.3965 H
0.1184 0.8947 0.8965 H
0.1296 0.5514 0.0798 H
0.1296 0.9486 0.5798 H
0.2764 0.6604 0.4956 H
0.2764 0.8396 0.9956 H
0.2786 0.5232 0.1894 H
0.2786 0.9768 0.6894 H
0.4414 0.1514 0.2881 H
0.4414 0.3486 0.7881 H
0.5586 0.6514 0.2119 H
0.5586 0.8486 0.7119 H
0.7214 0.0232 0.3106 H
0.7214 0.4768 0.8106 H
0.7236 0.1604 0.0044 H
0.7236 0.3396 0.5044 H
0.8704 0.0514 0.4202 H
0.8704 0.4486 0.9202 H
0.8816 0.1053 0.1035 H
0.8816 0.3947 0.6035 H
0.9390 0.1474 0.8940 H
0.9390 0.3526 0.3940 H
0.9877 0.6950 0.1474 H
0.9877 0.8050 0.6474 H
0.1536 0.1159 0.2464 C
0.1536 0.3841 0.7464 C
0.2928 0.1707 0.3496 C
0.2928 0.3293 0.8496 C
0.4570 0.2398 0.0124 C
0.4570 0.2602 0.5124 C
0.4767 0.6684 0.3693 C
0.4767 0.8316 0.8693 C
0.5233 0.1684 0.1307 C
0.5233 0.3316 0.6307 C
0.5430 0.7398 0.4876 C
0.5430 0.7602 0.9876 C
0.7072 0.6707 0.1504 C
0.7072 0.8293 0.6504 C
0.8464 0.6159 0.2536 C
0.8464 0.8841 0.7536 C
0.3137 0.2225 0.4500 N
0.3137 0.2775 0.9500 N
0.4212 0.1758 0.3541 N
0.4212 0.3242 0.8541 N
0.4737 0.7339 0.0440 N
0.4737 0.7661 0.5440 N
0.5263 0.2339 0.4560 N
0.5263 0.2661 0.9560 N
0.5788 0.6758 0.1459 N
0.5788 0.8242 0.6459 N
0.6863 0.7225 0.0500 N
0.6863 0.7775 0.5500 N
0.0013 0.2344 0.4181 O
0.0013 0.2656 0.9181 O
0.0386 0.1244 0.2490 O
0.0386 0.3756 0.7490 O
0.1630 0.0588 0.1623 O
0.1630 0.4412 0.6623 O
0.1870 0.5923 0.4784 O
0.1870 0.9077 0.9784 O
0.2185 0.0261 0.6103 O
0.2185 0.4739 0.1103 O
0.3451 0.6307 0.3146 O
0.3451 0.8693 0.8146 O
0.4328 0.1484 0.1649 O
0.4328 0.3516 0.6649 O
0.5672 0.6484 0.3351 O
0.5672 0.8516 0.8351 O
0.6549 0.1307 0.1854 O
0.6549 0.3693 0.6854 O
0.7815 0.5261 0.8897 O
0.7815 0.9739 0.3897 O
0.8130 0.0923 0.0216 O
0.8130 0.4077 0.5216 O
0.8370 0.5588 0.3377 O
0.8370 0.9412 0.8377 O
0.9614 0.6244 0.2510 O
0.9614 0.8756 0.7510 O
0.9987 0.7343 0.0819 O
0.9987 0.7657 0.5819 O
```

Computed properties:
- Mass density: 2.1 g cm⁻³
- E_tot: -555.82 eV per cell
- Space-group type: P2_1/c (14)

[3]
A plane-wave DFT calculation with PBE-GGA was carried out for crystalline Pa4HCN2 at its relaxed geometry.

```
Pa4HCN2
1.0
6.0394 0.0000 0.0000
0.0000 3.4869 0.0000
-1.8176 0.0000 5.8225
Pa H C N
4 1 1 2
direct
0.2396 0.0000 0.2413 Pa
0.2537 0.5000 0.7460 Pa
0.7463 0.5000 0.2540 Pa
0.7604 0.0000 0.7587 Pa
0.5000 0.5000 0.5000 H
0.5000 0.0000 0.0000 C
0.0000 0.0000 0.5000 N
0.0000 0.5000 0.0000 N
```

Computed properties:
- Mass density: 13.1 g cm⁻³
- E_tot: -74.67 eV per cell
- Space-group type: P2/m (10)

Look up the E_tot of the second one.
-555.82 eV per cell